1 | {
  "formula": "Sm5Dy2Ho12",
  "functional": "PBE",
  "state": "optimized geometry",
  "lattice_angstrom": [[-3.987, -0.736, -4.626], [3.902, -9.373, -3.248], [-8.912, 3.413, 8.525]],
  "species": ["Ho", "Ho", "Ho", "Ho", "Ho", "Ho", "Ho", "Ho", "Ho", "Ho", "Ho", "Ho", "Sm", "Sm", "Sm", "Sm", "Sm", "Dy", "Dy"],
  "fractional_positions": [[0.369, 0.262, 0.974], [0.526, 0.948, 0.606], [0.211, 0.578, 0.341], [0.317, 0.368, 0.763], [0.789, 0.422, 0.659], [0.105, 0.790, 0.921], [0.474, 0.052, 0.394], [0.053, 0.895, 0.712], [0.631, 0.738, 0.026], [0.895, 0.210, 0.079], [0.947, 0.105, 0.288], [0.683, 0.632, 0.237], [0.842, 0.315, 0.868], [0.263, 0.474, 0.553], [0.000, 0.000, 0.500], [0.737, 0.526, 0.447], [0.158, 0.685, 0.132], [0.580, 0.843, 0.817], [0.420, 0.157, 0.183]],
  "n_ef_per_ev_cell": 26.03,
  "spacegroup": "P-1 (2)",
  "vol_a3_per_atom": 31.7
}

---

2 | {
  "formula": "Sm5Dy2Ho12",
  "functional": "PBE",
  "state": "optimized geometry",
  "lattice_angstrom": [[-5.427, -1.823, -7.268], [0.176, -5.538, 7.146], [-6.260, 4.761, 3.480]],
  "species": ["Sm", "Sm", "Sm", "Sm", "Sm", "Ho", "Ho", "Ho", "Ho", "Ho", "Ho", "Ho", "Ho", "Ho", "Ho", "Ho", "Ho", "Dy", "Dy"],
  "fractional_positions": [[0.707, 0.414, 0.020], [0.231, 0.462, 0.571], [0.769, 0.538, 0.429], [0.293, 0.586, 0.980], [0.000, 0.000, 0.500], [0.820, 0.259, 0.669], [0.180, 0.741, 0.331], [0.673, 0.704, 0.760], [0.074, 0.147, 0.875], [0.439, 0.259, 0.669], [0.443, 0.887, 0.664], [0.327, 0.296, 0.240], [0.969, 0.296, 0.240], [0.557, 0.113, 0.336], [0.031, 0.704, 0.760], [0.561, 0.741, 0.331], [0.926, 0.853, 0.125], [0.327, 0.000, 0.000], [0.673, 0.000, 0.000]],
  "n_ef_per_ev_cell": 24.83,
  "spacegroup": "C2/m (12)",
  "vol_a3_per_atom": 32.5
}

---

Relative energy table, unit eV/atom: 1 0.000; 2 0.103

---

1 | {
  "formula": "SmDy5Ho3",
  "functional": "PBE",
  "state": "optimized geometry",
  "lattice_angstrom": [[9.609, 0.000, 0.000], [-4.804, 10.274, -3.377], [0.000, -2.485, 6.528]],
  "species": ["Dy", "Dy", "Dy", "Dy", "Dy", "Dy", "Dy", "Dy", "Dy", "Dy", "Sm", "Sm", "Ho", "Ho", "Ho", "Ho", "Ho", "Ho"],
  "fractional_positions": [[0.307, 0.307, 0.056], [0.000, 0.307, 0.556], [0.359, 0.359, 0.607], [0.000, 0.641, 0.893], [0.359, 0.000, 0.750], [0.693, 0.693, 0.944], [0.641, 0.641, 0.393], [0.000, 0.359, 0.107], [0.000, 0.693, 0.444], [0.641, 0.000, 0.250], [0.695, 0.000, 0.750], [0.305, 0.000, 0.250], [0.669, 0.337, 0.337], [0.000, 0.000, 0.000], [0.667, 0.337, 0.837], [0.000, 0.000, 0.500], [0.331, 0.663, 0.663], [0.333, 0.663, 0.163]],
  "n_ef_per_ev_cell": 25.43,
  "spacegroup": "C2/c (15)",
  "vol_a3_per_atom": 31.3
}

---

2 | {
  "formula": "SmDy5Ho3",
  "functional": "PBE",
  "state": "optimized geometry",
  "lattice_angstrom": [[8.994, 1.802, 1.378], [4.195, 8.157, 1.378], [5.708, 4.310, 10.572]],
  "species": ["Dy", "Dy", "Dy", "Dy", "Dy", "Dy", "Dy", "Dy", "Dy", "Dy", "Ho", "Ho", "Ho", "Ho", "Ho", "Ho", "Sm", "Sm"],
  "fractional_positions": [[0.558, 0.558, 0.567], [0.370, 0.370, 0.930], [0.630, 0.630, 0.070], [0.921, 0.509, 0.220], [0.491, 0.079, 0.780], [0.442, 0.442, 0.433], [0.079, 0.491, 0.780], [0.509, 0.921, 0.220], [0.680, 0.320, 0.000], [0.320, 0.680, 0.000], [0.166, 0.166, 0.660], [0.000, 0.000, 0.500], [0.000, 0.000, 0.000], [0.696, 0.696, 0.685], [0.304, 0.304, 0.315], [0.834, 0.834, 0.340], [0.893, 0.893, 0.871], [0.107, 0.107, 0.129]],
  "n_ef_per_ev_cell": 26.75,
  "spacegroup": "C2/m (12)",
  "vol_a3_per_atom": 34.3
}

---

Relative energy table, unit eV/atom: 1 0.000; 2 0.364

---

1 | {
  "formula": "SmDy2Ho2",
  "functional": "PBE",
  "state": "optimized geometry",
  "lattice_angstrom": [[-7.340, 3.021, -4.907], [4.518, -1.916, -7.937], [-1.421, -3.425, 0.018]],
  "species": ["Sm", "Sm", "Ho", "Ho", "Ho", "Ho", "Dy", "Dy", "Dy", "Dy"],
  "fractional_positions": [[0.500, 0.500, 0.000], [0.000, 0.000, 0.000], [0.329, 0.829, 0.500], [0.829, 0.671, 0.500], [0.171, 0.329, 0.500], [0.671, 0.171, 0.500], [0.626, 0.874, 0.000], [0.374, 0.126, 0.000], [0.126, 0.626, 0.000], [0.874, 0.374, 0.000]],
  "n_ef_per_ev_cell": 9.80,
  "spacegroup": "P4/mbm (127)",
  "vol_a3_per_atom": 32.3
}

---

2 | {
  "formula": "SmDy2Ho2",
  "functional": "PBE",
  "state": "optimized geometry",
  "lattice_angstrom": [[3.509, 0.000, 0.000], [0.000, 5.699, -0.027], [0.000, -2.816, 8.157]],
  "species": ["Dy", "Dy", "Sm", "Ho", "Ho"],
  "fractional_positions": [[0.200, 0.400, 0.799], [0.700, 0.591, 0.182], [0.200, 0.018, 0.036], [0.200, 0.781, 0.562], [0.700, 0.210, 0.421]],
  "n_ef_per_ev_cell": 8.81,
  "spacegroup": "Amm2 (38)",
  "vol_a3_per_atom": 32.6
}

---

Relative energy table, unit eV/atom: 1 0.000; 2 0.034

---

1 | {
  "formula": "Sm3Dy7Ho2",
  "functional": "PBE",
  "state": "optimized geometry",
  "lattice_angstrom": [[3.558, 0.000, 0.000], [0.000, 5.810, 0.256], [0.000, -1.853, 18.640]],
  "species": ["Dy", "Dy", "Dy", "Dy", "Dy", "Dy", "Dy", "Sm", "Sm", "Sm", "Ho", "Ho"],
  "fractional_positions": [[0.000, 0.688, 0.144], [0.500, 0.810, 0.823], [0.500, 0.257, 0.537], [0.000, 0.312, 0.856], [0.000, 0.000, 0.000], [0.500, 0.190, 0.177], [0.500, 0.743, 0.463], [0.000, 0.778, 0.633], [0.000, 0.222, 0.367], [0.500, 0.500, 0.000], [0.500, 0.290, 0.707], [0.500, 0.710, 0.293]],
  "n_ef_per_ev_cell": 14.99,
  "spacegroup": "P2/m (10)",
  "vol_a3_per_atom": 32.3
}

---

2 | {
  "formula": "Sm3Dy7Ho2",
  "functional": "PBE",
  "state": "optimized geometry",
  "lattice_angstrom": [[-0.578, 0.957, 3.340], [-6.244, -0.201, -1.023], [4.149, -16.560, 5.461]],
  "species": ["Dy", "Dy", "Dy", "Dy", "Dy", "Dy", "Dy", "Sm", "Sm", "Sm", "Ho", "Ho"],
  "fractional_positions": [[0.000, 0.000, 0.000], [0.000, 0.439, 0.166], [0.500, 0.245, 0.499], [0.500, 0.944, 0.167], [0.500, 0.056, 0.833], [0.500, 0.755, 0.501], [0.000, 0.561, 0.834], [0.000, 0.890, 0.341], [0.500, 0.500, 0.000], [0.000, 0.110, 0.659], [0.500, 0.616, 0.673], [0.500, 0.384, 0.327]],
  "n_ef_per_ev_cell": 17.54,
  "spacegroup": "P2/m (10)",
  "vol_a3_per_atom": 32.3
}

---

Relative energy table, unit eV/atom: 1 0.006; 2 0.000

---

1 | {
  "formula": "Sm4DyHo4",
  "functional": "PBE",
  "state": "optimized geometry",
  "lattice_angstrom": [[5.420, 0.000, 1.281], [1.989, 7.776, 3.691], [0.878, 2.964, 8.391]],
  "species": ["Ho", "Ho", "Ho", "Ho", "Sm", "Sm", "Sm", "Sm", "Dy"],
  "fractional_positions": [[0.927, 0.767, 0.379], [0.372, 0.573, 0.683], [0.073, 0.233, 0.621], [0.628, 0.427, 0.317], [0.719, 0.850, 0.713], [0.867, 0.305, 0.962], [0.133, 0.695, 0.038], [0.281, 0.150, 0.287], [0.500, 0.000, 0.000]],
  "n_ef_per_ev_cell": 15.17,
  "spacegroup": "C2/m (12)",
  "vol_a3_per_atom": 32.6
}

---

2 | {
  "formula": "Sm4DyHo4",
  "functional": "PBE",
  "state": "optimized geometry",
  "lattice_angstrom": [[5.043, 0.000, 0.000], [2.521, 7.582, 0.000], [2.521, 0.000, 7.582]],
  "species": ["Dy", "Ho", "Ho", "Ho", "Ho", "Sm", "Sm", "Sm", "Sm"],
  "fractional_positions": [[0.000, 0.000, 0.000], [0.666, 0.000, 0.668], [0.334, 0.000, 0.332], [0.666, 0.668, 0.000], [0.334, 0.332, 0.000], [0.000, 0.668, 0.332], [0.668, 0.332, 0.332], [0.000, 0.332, 0.668], [0.332, 0.668, 0.668]],
  "n_ef_per_ev_cell": 13.13,
  "spacegroup": "I4/mmm (139)",
  "vol_a3_per_atom": 32.2
}

---

Relative energy table, unit eV/atom: 1 0.088; 2 0.000

---

1 | {
  "formula": "Sm3Dy4Ho5",
  "functional": "PBE",
  "state": "optimized geometry",
  "lattice_angstrom": [[-3.391, -3.369, 5.263], [-3.824, 3.060, -10.115], [5.632, -8.466, 7.796]],
  "species": ["Sm", "Sm", "Sm", "Dy", "Dy", "Dy", "Dy", "Ho", "Ho", "Ho", "Ho", "Ho"],
  "fractional_positions": [[0.584, 0.167, 0.333], [0.000, 0.000, 0.500], [0.416, 0.833, 0.667], [0.167, 0.334, 0.167], [0.918, 0.835, 0.668], [0.833, 0.666, 0.833], [0.082, 0.165, 0.332], [0.668, 0.333, 0.166], [0.332, 0.667, 0.834], [0.500, 0.000, 0.500], [0.250, 0.499, 0.999], [0.750, 0.501, 0.001]],
  "n_ef_per_ev_cell": 15.30,
  "spacegroup": "P-1 (2)",
  "vol_a3_per_atom": 31.7
}

---

2 | {
  "formula": "Sm3Dy4Ho5",
  "functional": "PBE",
  "state": "optimized geometry",
  "lattice_angstrom": [[5.889, 0.000, 0.000], [2.944, 7.491, -2.741], [2.944, -0.812, 9.137]],
  "species": ["Ho", "Ho", "Ho", "Ho", "Ho", "Sm", "Sm", "Sm", "Dy", "Dy", "Dy", "Dy"],
  "fractional_positions": [[0.215, 0.457, 0.112], [0.500, 0.500, 0.500], [0.624, 0.949, 0.802], [0.785, 0.543, 0.888], [0.376, 0.051, 0.198], [0.477, 0.314, 0.731], [0.000, 0.500, 0.500], [0.523, 0.686, 0.269], [0.860, 0.222, 0.058], [0.832, 0.957, 0.378], [0.140, 0.778, 0.942], [0.168, 0.043, 0.622]],
  "n_ef_per_ev_cell": 18.98,
  "spacegroup": "C2/m (12)",
  "vol_a3_per_atom": 32.5
}

---

Relative energy table, unit eV/atom: 1 0.000; 2 0.220